Compound: AcBeP2O8
Source: Alexandria
Functional: GGA-PBE
Structure: relaxed

## Properties
Formation energy from raw total energies = -2.452 eV/atom
DOS at the Fermi energy = 6.68 states/eV/f.u.
Total magnetic moment = 0.000 μB/cell

Cell lengths 5.0351, 5.0351, 6.7872 Å; angles 90.00, 90.00, 120.00 degrees
Space group P-3m1 (No. 164)
Unique sites:
Ac (0.0000, 0.0000, 0.0000)
Be (0.0000, 0.0000, 0.5000)
P (0.3333, 0.6667, 0.7328)
O (0.1648, 0.3296, 0.6663)
O (0.3333, 0.6667, 0.9629)